(1)
First-principles (GGA-PBE) data for a relaxed structure of Cr5As, as listed in the Alexandria database.

Structure (CIF):
```
data_Cr5As
_cell_length_a 6.694
_cell_length_b 6.694
_cell_length_c 6.694
_cell_angle_alpha 90.00
_cell_angle_beta 90.00
_cell_angle_gamma 90.00
_space_group_name_H-M_alt 'F -4 3 m'
_space_group_IT_number 216
_space_group_name_Hall 'F -4 2 3'
loop_
_atom_site_label
_atom_site_fract_x
_atom_site_fract_y
_atom_site_fract_z
Cr1 0.000 0.000 0.000
Cr2 0.124 0.124 0.624
As1 0.250 0.250 0.250
```

Values from the calculation:
calculated volume = 12.50 Å³/atom
calculated total energy = -8.471 eV per atom
M_tot = 1.2 μB per formula unit
E_form = 0.32 eV per atom

***

(2)
First-principles (GGA-PBE) data for a relaxed structure of Zr2InPt, as listed in the Alexandria database.

Structure (CIF):
```
data_Zr2InPt
_cell_length_a 3.3249
_cell_length_b 3.3249
_cell_length_c 27.2828
_cell_angle_alpha 90.00
_cell_angle_beta 90.00
_cell_angle_gamma 120.00
_space_group_name_H-M_alt 'R 3 m'
_space_group_IT_number 160
_space_group_name_Hall 'R 3 -2"'
loop_
_atom_site_label
_atom_site_fract_x
_atom_site_fract_y
_atom_site_fract_z
Zr1 0.0000 0.0000 0.0000
Zr2 0.0000 0.0000 0.2432
In1 0.0000 0.0000 0.7592
Pt1 0.0000 0.0000 0.5042
```

Values from the calculation:
calculated volume = 21.77 Å³/atom
calculated total energy = -6.773 eV per atom
M_tot = 0.0 μB per formula unit
E_form = -0.30 eV per atom

***

(3)
First-principles (GGA-PBE) data for a relaxed structure of ErB2Rh4, as listed in the Alexandria database.

Structure (CIF):
```
data_ErB2Rh4
_cell_length_a 4.216
_cell_length_b 5.455
_cell_length_c 8.453
_cell_angle_alpha 90.00
_cell_angle_beta 90.00
_cell_angle_gamma 90.00
_space_group_name_H-M_alt 'I m m m'
_space_group_IT_number 71
_space_group_name_Hall '-I 2 2'
loop_
_atom_site_label
_atom_site_fract_x
_atom_site_fract_y
_atom_site_fract_z
Er1 0.000 0.000 0.000
B1 0.211 0.500 0.000
Rh1 0.000 0.244 0.340
```

Values from the calculation:
calculated volume = 13.88 Å³/atom
calculated total energy = -6.961 eV per atom
M_tot = 0.0 μB per formula unit
E_form = -0.20 eV per atom

***

(4)
First-principles (GGA-PBE) data for a relaxed structure of Ce2Sn4Pd3Au, as listed in the Alexandria database.

Structure (CIF):
```
data_Ce2Sn4Pd3Au
_cell_length_a 4.620
_cell_length_b 4.620
_cell_length_c 10.800
_cell_angle_alpha 90.00
_cell_angle_beta 90.00
_cell_angle_gamma 90.00
_space_group_name_H-M_alt 'P -4 m 2'
_space_group_IT_number 115
_space_group_name_Hall 'P -4 -2'
loop_
_atom_site_label
_atom_site_fract_x
_atom_site_fract_y
_atom_site_fract_z
Ce1 0.000 0.500 0.243
Sn1 0.000 0.000 0.500
Sn2 0.000 0.500 0.865
Sn3 0.500 0.500 0.500
Pd1 0.000 0.000 0.000
Pd2 0.000 0.500 0.626
Au1 0.500 0.500 0.000
```

Values from the calculation:
calculated volume = 23.05 Å³/atom
calculated total energy = -5.341 eV per atom
M_tot = 1.9 μB per formula unit
E_form = -0.67 eV per atom

***

(5)
First-principles (GGA-PBE) data for a relaxed structure of CdInIN2, as listed in the Alexandria database.

Structure (CIF):
```
data_CdInIN2
_cell_length_a 4.318
_cell_length_b 4.318
_cell_length_c 6.629
_cell_angle_alpha 90.00
_cell_angle_beta 90.00
_cell_angle_gamma 90.00
_space_group_name_H-M_alt 'P 4/m m m'
_space_group_IT_number 123
_space_group_name_Hall '-P 4 2'
loop_
_atom_site_label
_atom_site_fract_x
_atom_site_fract_y
_atom_site_fract_z
Cd1 0.000 0.000 0.000
In1 0.500 0.500 0.500
I1 0.500 0.500 0.000
N1 0.000 0.500 0.500
```

Values from the calculation:
calculated volume = 24.72 Å³/atom
calculated total energy = -3.095 eV per atom
uncorrected formation energy = 1.276 eV per atom
M_tot = 2.8 μB per formula unit

***

(6)
First-principles (GGA-PBE) data for a relaxed structure of Tb3PmTh2Sb6, as listed in the Alexandria database.

Structure (CIF):
```
data_Tb3PmTh2Sb6
_cell_length_a 19.392
_cell_length_b 4.462
_cell_length_c 8.890
_cell_angle_alpha 90.00
_cell_angle_beta 103.08
_cell_angle_gamma 90.00
_space_group_name_H-M_alt 'C 1 2/m 1'
_space_group_IT_number 12
_space_group_name_Hall '-C 2y'
loop_
_atom_site_label
_atom_site_fract_x
_atom_site_fract_y
_atom_site_fract_z
Tb1 0.000 0.000 0.000
Tb2 0.166 0.500 0.334
Pm1 0.000 0.000 0.500
Th1 0.165 0.500 0.831
Sb1 0.002 0.500 0.247
Sb2 0.165 0.000 0.087
Sb3 0.168 0.000 0.579
```

Values from the calculation:
calculated volume = 31.22 Å³/atom
calculated total energy = -5.937 eV per atom
uncorrected formation energy = -1.085 eV per atom
M_tot = 0.0 μB per formula unit

***

(7)
First-principles (GGA-PBE) data for a relaxed structure of AlPd2Rh, as listed in the Alexandria database.

Structure (CIF):
```
data_AlPd2Rh
_cell_length_a 3.710
_cell_length_b 3.710
_cell_length_c 18.502
_cell_angle_alpha 90.00
_cell_angle_beta 90.00
_cell_angle_gamma 90.00
_space_group_name_H-M_alt 'I -4 2 d'
_space_group_IT_number 122
_space_group_name_Hall 'I -4 2bw'
loop_
_atom_site_label
_atom_site_fract_x
_atom_site_fract_y
_atom_site_fract_z
Al1 0.000 0.000 0.000
Pd1 0.248 0.250 0.125
Rh1 0.000 0.000 0.500
```

Values from the calculation:
calculated volume = 15.92 Å³/atom
calculated total energy = -5.533 eV per atom
M_tot = 0.0 μB per formula unit
E_form = -0.16 eV per atom

***

(8)
First-principles (GGA-PBE) data for a relaxed structure of InTePb2, as listed in the Alexandria database.

Structure (CIF):
```
data_InTePb2
_cell_length_a 3.334
_cell_length_b 5.935
_cell_length_c 6.554
_cell_angle_alpha 90.00
_cell_angle_beta 104.02
_cell_angle_gamma 90.00
_space_group_name_H-M_alt 'P 1 m 1'
_space_group_IT_number 6
_space_group_name_Hall 'P -2y'
loop_
_atom_site_label
_atom_site_fract_x
_atom_site_fract_y
_atom_site_fract_z
In1 0.000 0.000 0.000
Te1 0.486 0.500 0.891
Pb1 0.290 0.000 0.517
Pb2 0.721 0.500 0.378
```

Values from the calculation:
calculated volume = 31.45 Å³/atom
calculated total energy = -3.366 eV per atom
uncorrected formation energy = -0.042 eV per atom
M_tot = 0.0 μB per formula unit

***

(9)
First-principles (GGA-PBE) data for a relaxed structure of NaMg12Tl6, as listed in the Alexandria database.

Structure (CIF):
```
data_NaMg12Tl6
_cell_length_a 10.7901
_cell_length_b 10.7901
_cell_length_c 14.4235
_cell_angle_alpha 90.00
_cell_angle_beta 90.00
_cell_angle_gamma 120.00
_space_group_name_H-M_alt 'R -3'
_space_group_IT_number 148
_space_group_name_Hall '-R 3'
loop_
_atom_site_label
_atom_site_fract_x
_atom_site_fract_y
_atom_site_fract_z
Na1 0.0000 0.0000 0.0000
Mg1 0.0525 0.2068 0.4099
Mg2 0.0728 0.1892 0.7742
Tl1 0.0256 0.6097 0.7318
```

Values from the calculation:
calculated volume = 25.51 Å³/atom
calculated total energy = -1.804 eV per atom
M_tot = 0.0 μB per formula unit
E_form = 0.02 eV per atom

***

(10)
First-principles (GGA-PBE) data for a relaxed structure of YTi2Pt, as listed in the Alexandria database.

Structure (CIF):
```
data_YTi2Pt
_cell_length_a 9.909
_cell_length_b 4.584
_cell_length_c 7.351
_cell_angle_alpha 90.00
_cell_angle_beta 101.44
_cell_angle_gamma 90.00
_space_group_name_H-M_alt 'C 1 m 1'
_space_group_IT_number 8
_space_group_name_Hall 'C -2y'
loop_
_atom_site_label
_atom_site_fract_x
_atom_site_fract_y
_atom_site_fract_z
Y1 0.000 0.000 0.000
Y2 0.220 0.500 0.230
Ti1 0.139 0.000 0.482
Ti2 0.166 0.500 0.717
Ti3 0.367 0.000 0.731
Ti4 0.450 0.000 0.375
Pt1 0.305 0.000 0.044
Pt2 0.408 0.500 0.576
```

Values from the calculation:
calculated volume = 20.45 Å³/atom
calculated total energy = -7.503 eV per atom
M_tot = 0.0 μB per formula unit
E_form = -0.43 eV per atom

***

(11)
First-principles (GGA-PBE) data for a relaxed structure of SmSb2, as listed in the Alexandria database.

Structure (CIF):
```
data_SmSb2
_cell_length_a 6.287
_cell_length_b 6.132
_cell_length_c 18.041
_cell_angle_alpha 90.00
_cell_angle_beta 90.00
_cell_angle_gamma 90.00
_space_group_name_H-M_alt 'C m c e'
_space_group_IT_number 64
_space_group_name_Hall '-C 2ac 2'
loop_
_atom_site_label
_atom_site_fract_x
_atom_site_fract_y
_atom_site_fract_z
Sm1 0.000 0.140 0.111
Sb1 0.000 0.137 0.435
Sb2 0.250 0.126 0.750
```

Values from the calculation:
calculated volume = 28.98 Å³/atom
calculated total energy = -5.103 eV per atom
uncorrected formation energy = -0.782 eV per atom
M_tot = 0.0 μB per formula unit

***

(12)
First-principles (GGA-PBE) data for a relaxed structure of Y2PuBi, as listed in the Alexandria database.

Structure (CIF):
```
data_Y2PuBi
_cell_length_a 4.980
_cell_length_b 4.980
_cell_length_c 4.615
_cell_angle_alpha 90.00
_cell_angle_beta 90.00
_cell_angle_gamma 90.00
_space_group_name_H-M_alt 'P 4/m m m'
_space_group_IT_number 123
_space_group_name_Hall '-P 4 2'
loop_
_atom_site_label
_atom_site_fract_x
_atom_site_fract_y
_atom_site_fract_z
Y1 0.000 0.500 0.000
Pu1 0.000 0.000 0.500
Bi1 0.500 0.500 0.500
```

Values from the calculation:
calculated volume = 28.61 Å³/atom
calculated total energy = -8.054 eV per atom
M_tot = 6.8 μB per formula unit
E_form = -0.27 eV per atom

***

(13)
First-principles (GGA-PBE) data for a relaxed structure of Mg3CdSn3, as listed in the Alexandria database.

Structure (CIF):
```
data_Mg3CdSn3
_cell_length_a 9.705
_cell_length_b 9.509
_cell_length_c 7.786
_cell_angle_alpha 90.00
_cell_angle_beta 90.04
_cell_angle_gamma 90.00
_space_group_name_H-M_alt 'C 1 2/m 1'
_space_group_IT_number 12
_space_group_name_Hall '-C 2y'
loop_
_atom_site_label
_atom_site_fract_x
_atom_site_fract_y
_atom_site_fract_z
Mg1 0.000 0.227 0.000
Mg2 0.000 0.272 0.500
Mg3 0.236 0.000 0.991
Cd1 0.157 0.000 0.513
Sn1 0.004 0.500 0.770
Sn2 0.249 0.244 0.251
```

Values from the calculation:
calculated volume = 25.66 Å³/atom
calculated total energy = -2.557 eV per atom
M_tot = 0.0 μB per formula unit
E_form = -0.03 eV per atom

***

(14)
First-principles (GGA-PBE) data for a relaxed structure of Nd2ErPuS4, as listed in the Alexandria database.

Structure (CIF):
```
data_Nd2ErPuS4
_cell_length_a 6.900
_cell_length_b 3.965
_cell_length_c 6.950
_cell_angle_alpha 90.00
_cell_angle_beta 109.10
_cell_angle_gamma 90.00
_space_group_name_H-M_alt 'P 1 2/m 1'
_space_group_IT_number 10
_space_group_name_Hall '-P 2y'
loop_
_atom_site_label
_atom_site_fract_x
_atom_site_fract_y
_atom_site_fract_z
Nd1 0.000 0.000 0.000
Nd2 0.500 0.500 0.000
Er1 0.000 0.500 0.500
Pu1 0.500 0.000 0.500
S1 0.241 0.000 0.734
S2 0.251 0.500 0.263
```

Values from the calculation:
calculated volume = 22.46 Å³/atom
calculated total energy = -7.578 eV per atom
uncorrected formation energy = -1.961 eV per atom
M_tot = 5.7 μB per formula unit

***

(15)
First-principles (GGA-PBE) data for a relaxed structure of CdInGaSn, as listed in the Alexandria database.

Structure (CIF):
```
data_CdInGaSn
_cell_length_a 7.337
_cell_length_b 7.337
_cell_length_c 7.337
_cell_angle_alpha 90.00
_cell_angle_beta 90.00
_cell_angle_gamma 90.00
_space_group_name_H-M_alt 'F -4 3 m'
_space_group_IT_number 216
_space_group_name_Hall 'F -4 2 3'
loop_
_atom_site_label
_atom_site_fract_x
_atom_site_fract_y
_atom_site_fract_z
Cd1 0.000 0.000 0.000
In1 0.250 0.250 0.750
Ga1 0.000 0.000 0.500
Sn1 0.250 0.250 0.250
```

Values from the calculation:
calculated volume = 24.69 Å³/atom
calculated total energy = -2.621 eV per atom
M_tot = 0.0 μB per formula unit
E_form = 0.05 eV per atom

***

(16)
First-principles (GGA-PBE) data for a relaxed structure of La2PrC, as listed in the Alexandria database.

Structure (CIF):
```
data_La2PrC
_cell_length_a 3.6872
_cell_length_b 3.6872
_cell_length_c 30.8794
_cell_angle_alpha 90.00
_cell_angle_beta 90.00
_cell_angle_gamma 120.00
_space_group_name_H-M_alt 'R -3 m'
_space_group_IT_number 166
_space_group_name_Hall '-R 3 2"'
loop_
_atom_site_label
_atom_site_fract_x
_atom_site_fract_y
_atom_site_fract_z
La1 0.0000 0.0000 0.1193
Pr1 0.0000 0.0000 0.0000
C1 0.0000 0.0000 0.5000
```

Values from the calculation:
calculated volume = 30.30 Å³/atom
calculated total energy = -5.948 eV per atom
M_tot = 0.0 μB per formula unit
E_form = 0.02 eV per atom

***

(17)
First-principles (GGA-PBE) data for a relaxed structure of Ce6In2Pt, as listed in the Alexandria database.

Structure (CIF):
```
data_Ce6In2Pt
_cell_length_a 3.596
_cell_length_b 15.412
_cell_length_c 8.908
_cell_angle_alpha 90.00
_cell_angle_beta 90.00
_cell_angle_gamma 90.00
_space_group_name_H-M_alt 'A m m 2'
_space_group_IT_number 38
_space_group_name_Hall 'A 2 -2'
loop_
_atom_site_label
_atom_site_fract_x
_atom_site_fract_y
_atom_site_fract_z
Ce1 0.000 0.000 0.000
Ce2 0.000 0.129 0.613
Ce3 0.500 0.000 0.356
Ce4 0.500 0.194 0.936
In1 0.000 0.166 0.242
Pt1 0.500 0.000 0.742
```

Values from the calculation:
calculated volume = 27.42 Å³/atom
calculated total energy = -5.616 eV per atom
M_tot = 4.7 μB per formula unit
E_form = -0.38 eV per atom

***

(18)
First-principles (GGA-PBE) data for a relaxed structure of YbHgPd2, as listed in the Alexandria database.

Structure (CIF):
```
data_YbHgPd2
_cell_length_a 6.779
_cell_length_b 6.779
_cell_length_c 6.779
_cell_angle_alpha 90.00
_cell_angle_beta 90.00
_cell_angle_gamma 90.00
_space_group_name_H-M_alt 'F m -3 m'
_space_group_IT_number 225
_space_group_name_Hall '-F 4 2 3'
loop_
_atom_site_label
_atom_site_fract_x
_atom_site_fract_y
_atom_site_fract_z
Yb1 0.000 0.000 0.000
Hg1 0.000 0.000 0.500
Pd1 0.250 0.250 0.250
```

Values from the calculation:
calculated volume = 19.47 Å³/atom
calculated total energy = -3.621 eV per atom
M_tot = 0.3 μB per formula unit
E_form = -0.57 eV per atom

***

(19)
First-principles (GGA-PBE) data for a relaxed structure of Rb2ZnBF6, as listed in the Alexandria database.

Structure (CIF):
```
data_Rb2ZnBF6
_cell_length_a 8.291
_cell_length_b 8.291
_cell_length_c 8.291
_cell_angle_alpha 90.00
_cell_angle_beta 90.00
_cell_angle_gamma 90.00
_space_group_name_H-M_alt 'F m -3 m'
_space_group_IT_number 225
_space_group_name_Hall '-F 4 2 3'
loop_
_atom_site_label
_atom_site_fract_x
_atom_site_fract_y
_atom_site_fract_z
Rb1 0.250 0.250 0.250
Zn1 0.000 0.000 0.000
B1 0.000 0.000 0.500
F1 0.000 0.000 0.299
```

Values from the calculation:
calculated volume = 14.25 Å³/atom
calculated total energy = -4.287 eV per atom
uncorrected formation energy = -2.176 eV per atom
M_tot = 0.0 μB per formula unit

***

(20)
First-principles (GGA-PBE) data for a relaxed structure of Ca2NiPtN, as listed in the Alexandria database.

Structure (CIF):
```
data_Ca2NiPtN
_cell_length_a 5.010
_cell_length_b 5.010
_cell_length_c 3.532
_cell_angle_alpha 90.00
_cell_angle_beta 90.00
_cell_angle_gamma 90.00
_space_group_name_H-M_alt 'P 4/m m m'
_space_group_IT_number 123
_space_group_name_Hall '-P 4 2'
loop_
_atom_site_label
_atom_site_fract_x
_atom_site_fract_y
_atom_site_fract_z
Ca1 0.000 0.500 0.000
Ni1 0.000 0.000 0.500
Pt1 0.500 0.500 0.500
N1 0.000 0.000 0.000
```

Values from the calculation:
calculated volume = 17.73 Å³/atom
calculated total energy = -5.557 eV per atom
uncorrected formation energy = -0.727 eV per atom
M_tot = 0.0 μB per formula unit